# 1
Computed, not measured: PmCdSn after structural relaxation at the GGA-PBE level of DFT.

Lattice parameters (Å, degrees): 4.906 7.552 8.541 90.00 90.00 90.00
Space group Imm2 (No. 44)
Symmetry-distinct sites (fractional):
Pm (0.000, 0.000, 0.000) (multiplicity 2)
Pm (0.000, 0.500, 0.035) (multiplicity 2)
Cd (0.000, 0.297, 0.686) (multiplicity 4)
Sn (0.000, 0.244, 0.354) (multiplicity 4)

Properties
N(E_F) (states/eV/f.u.): 1.2
E (eV per atom): -3.720
ΔE_f (eV/atom): -0.497
Total moment (μB/f.u.): 0.0

# 2
Computed, not measured: PmCdSn2 after structural relaxation at the GGA-PBE level of DFT.

Lattice parameters (Å, degrees): 4.9279 4.9279 15.5787 90.00 90.00 120.00
Space group R-3m (No. 166, hexagonal axes)
Symmetry-distinct sites (fractional):
Pm (0.0000, 0.0000, 0.0000) (multiplicity 3)
Cd (0.0000, 0.0000, 0.5000) (multiplicity 3)
Sn (0.0000, 0.0000, 0.2315) (multiplicity 6)

Properties
N(E_F) (states/eV/f.u.): 2.2
E (eV per atom): -3.686
ΔE_f (eV/atom): -0.268
Total moment (μB/f.u.): 0.0

Which of these has the highest ΔE_f?
PmCdSn2

What is the formula in the second record?
PmCdSn2

Which value of E does entry 1 give?
-3.720 eV per atom